Record 1
Computed, not measured: a relaxed structure of YNiI2 at the PBE-GGA level of DFT.

Computed properties:
Uncorrected formation energy = -0.22 eV/f.u.
DOS(E_F) = 4.2 states/eV/f.u.
Total energy = -3.892 eV per atom
Size of the total moment = 2.5 Bohr magnetons per cell
E above lowest polymorph = 0.127 eV/atom

Cell lengths 3.9474, 3.9474, 27.1316 Å; angles 90.00, 90.00, 120.00 degrees
Space group R-3m (No. 166, hexagonal axes)
Asymmetric unit:
Y 0.0000 0.0000 0.0000 x3
Ni 0.0000 0.0000 0.5000 x3
I 0.0000 0.0000 0.1109 x6

***

Record 2
Computed, not measured: a relaxed structure of Y2NiI at the PBE-GGA level of DFT.

Computed properties:
Uncorrected formation energy = -1.02 eV/f.u.
DOS(E_F) = 1.5 states/eV/f.u.
Total energy = -5.321 eV per atom
Size of the total moment = 0.0 Bohr magnetons per cell
E above lowest polymorph = 0.389 eV/atom

Cell lengths 7.6426, 7.6426, 7.6491 Å; angles 90.00, 90.00, 90.00 degrees
Space group I-42d (No. 122)
Asymmetric unit:
Y 0.1928 0.7500 0.1250 x8
Ni 0.0000 0.0000 0.0000 x4
I 0.0000 0.0000 0.5000 x4

***

Record 3
Computed, not measured: a relaxed structure of YNiI3 at the PBE-GGA level of DFT.

Computed properties:
Uncorrected formation energy = -0.82 eV/f.u.
DOS(E_F) = 5.6 states/eV/f.u.
Total energy = -3.543 eV per atom
Size of the total moment = 0.0 Bohr magnetons per cell
E above lowest polymorph = 0.000 eV/atom

Cell lengths 5.2583, 5.2583, 5.2583 Å; angles 90.00, 90.00, 90.00 degrees
Space group Pm-3m (No. 221)
Asymmetric unit:
Y 0.0000 0.0000 0.0000 x1
Ni 0.5000 0.5000 0.5000 x1
I 0.0000 0.5000 0.5000 x3